1.
Below is an optimized crystal structure of Pu2CuPb, with properties calculated at the PBE level.

```
data_Pu2CuPb
_space_group_name_H-M_alt 'P 1'
_space_group_IT_number 1
_cell_length_a 4.4139
_cell_length_b 4.4139
_cell_length_c 4.7766
_cell_angle_alpha 90.00
_cell_angle_beta 90.00
_cell_angle_gamma 90.00
loop_
_space_group_symop_operation_xyz
'x,y,z'
loop_
_atom_site_label
_atom_site_fract_x
_atom_site_fract_y
_atom_site_fract_z
Pu1 0.0000 0.5000 0.0000
Pu2 0.5000 0.0000 0.0000
Cu1 0.0000 0.0000 0.5000
Pb1 0.5000 0.5000 0.5000
```

## Properties
Volume (Å³ per atom): 23.3
Calculated total energy (eV per atom): -9.12
Space-group type: No. 123
ρ (g/cm³): 13.54
DFT formation energy (eV/atom): -0.002
Total magnetic moment (μB per atom): 2.838

2.
Below is an optimized crystal structure of K2TeBr, with properties calculated at the PBE level.

```
data_K2TeBr
_space_group_name_H-M_alt 'P 1'
_space_group_IT_number 1
_cell_length_a 7.7904
_cell_length_b 7.7904
_cell_length_c 7.7904
_cell_angle_alpha 110.30
_cell_angle_beta 110.30
_cell_angle_gamma 107.82
loop_
_space_group_symop_operation_xyz
'x,y,z'
loop_
_atom_site_label
_atom_site_fract_x
_atom_site_fract_y
_atom_site_fract_z
K1 0.0960 0.6250 0.9710
K2 0.3750 0.3460 0.4710
K3 0.6540 0.1250 0.0290
K4 0.8750 0.9040 0.5290
Te1 0.2500 0.7500 0.5000
Te2 0.5000 0.5000 0.0000
Br1 0.0000 0.0000 0.0000
Br2 0.7500 0.2500 0.5000
```

## Properties
Volume (Å³ per atom): 45.5
Calculated total energy (eV per atom): -2.74
Offset from the most stable computed form (meV/atom): 191
Space-group type: No. 122
ρ (g/cm³): 2.61
Total magnetic moment (μB per atom): 0.250

3.
Below is an optimized crystal structure of TcRuS2Cl, with properties calculated at the PBE level.

```
data_TcRuS2Cl
_space_group_name_H-M_alt 'P 1'
_space_group_IT_number 1
_cell_length_a 4.6246
_cell_length_b 4.6246
_cell_length_c 4.7910
_cell_angle_alpha 90.00
_cell_angle_beta 90.00
_cell_angle_gamma 90.00
loop_
_space_group_symop_operation_xyz
'x,y,z'
loop_
_atom_site_label
_atom_site_fract_x
_atom_site_fract_y
_atom_site_fract_z
Tc1 0.0000 0.0000 0.0000
Ru1 0.5000 0.5000 0.5000
S1 0.0000 0.5000 0.5000
S2 0.5000 0.0000 0.5000
Cl1 0.5000 0.5000 0.0000
```

## Properties
Volume (Å³ per atom): 20.5
Calculated total energy (eV per atom): -5.17
Offset from the most stable computed form (meV/atom): 0
Space-group type: No. 123
ρ (g/cm³): 4.84
Total magnetic moment (μB per atom): 0.666